1.
Compound: CePr3Y3
Source: Alexandria
Functional: PBE
Structure: optimized geometry

Cell and atoms, written as POSCAR:
```
CePr3Y3
1.0
8.2201 0.0380 -0.0063
0.0568 8.2199 -0.0063
-0.0039 -0.0039 7.2905
Pr Y Ce
6 6 2
Cartesian
4.0902 0.0220 1.7876 Pr
0.0314 4.0901 1.7876 Pr
-0.0020 -0.0020 5.4676 Pr
8.2415 4.1639 5.4903 Pr
4.1827 8.2320 5.4903 Pr
8.2749 8.2560 1.8103 Pr
5.8415 2.4180 3.6390 Y
2.3126 2.3073 3.6514 Y
5.9603 5.9467 3.6265 Y
5.8979 2.3654 -0.0063 Y
2.3789 5.8925 -0.0063 Y
2.4314 5.8360 3.6390 Y
2.3875 2.3820 -0.0007 Ce
5.8854 5.8720 7.2786 Ce
```

Calculated values
electronic total energy: -0.2001 Ha/atom
SG: C2/m (12)


2.
Compound: Fe2CuOs2
Source: Alexandria
Functional: PBE
Structure: optimized geometry

Cell and atoms, written as POSCAR:
```
Fe2CuOs2
1.0
7.1864 0.0000 0.0000
0.0000 7.1864 0.0000
0.0000 0.0000 2.6034
Os Fe Cu
4 4 2
Cartesian
6.2599 4.5197 0.0000 Os
4.5197 0.9265 0.0000 Os
0.9265 2.6667 0.0000 Os
2.6667 6.2599 0.0000 Os
6.0041 2.4109 1.3017 Fe
1.1823 4.7755 1.3017 Fe
4.7755 6.0041 1.3017 Fe
2.4109 1.1823 1.3017 Fe
3.5932 3.5932 0.0000 Cu
0.0000 0.0000 0.0000 Cu
```

Calculated values
electronic total energy: -0.3045 Ha/atom
SG: P4/mbm (127)


3.
Compound: Bi4Se4I3
Source: Alexandria
Functional: PBE
Structure: optimized geometry

Cell and atoms, written as POSCAR:
```
Bi4Se4I3
1.0
-2.5055 -3.0379 1.1471
5.5022 -1.6082 7.7590
-6.1956 7.8905 0.0320
Bi Se I
4 4 3
Cartesian
0.6549 1.6805 5.8810 Bi
0.0466 -1.8987 2.4057 Bi
-3.8538 1.5640 3.0570 Bi
2.9502 -2.7474 6.5003 Bi
-4.1870 4.0197 1.5004 Se
0.9880 -0.7752 7.4376 Se
-1.1238 -0.1580 4.4595 Se
-2.0751 3.4024 4.4785 Se
-2.1972 2.0571 7.9815 I
-1.0017 1.1873 0.9565 I
2.7511 -0.8041 3.8795 I
```

Calculated values
energy relative to the elements, uncorrected: -0.16 eV/atom
SG: Immm (71)


4.
Compound: PmPrZr
Source: Alexandria
Functional: PBE
Structure: optimized geometry

Cell and atoms, written as POSCAR:
```
PmPrZr
1.0
-0.8151 -2.2524 2.5311
-0.4809 -0.8804 -3.3374
8.0489 -3.2519 -0.3019
Zr Pr Pm
1 1 1
Cartesian
1.9959 -2.8858 0.4737 Zr
0.1755 -0.0709 -0.0066 Pr
4.5816 -3.4281 -1.5752 Pm
```

Calculated values
electronic total energy: -0.2162 Ha/atom
SG: P3m1 (156)


What did the fourth record say?
Compound: PmPrZr
Source: Alexandria
Functional: PBE
Structure: optimized geometry

Cell and atoms, written as POSCAR:
```
PmPrZr
1.0
-0.8151 -2.2524 2.5311
-0.4809 -0.8804 -3.3374
8.0489 -3.2519 -0.3019
Zr Pr Pm
1 1 1
Cartesian
1.9959 -2.8858 0.4737 Zr
0.1755 -0.0709 -0.0066 Pr
4.5816 -3.4281 -1.5752 Pm
```

Calculated values
electronic total energy: -0.2162 Ha/atom
SG: P3m1 (156)